{"formula": "CuNi", "functional": "PBE", "state": "optimized geometry", "delta_e_f_ev_per_atom": 0.019, "dos_ef_per_ev_atom": 1.227, "space_group": "Cmcm", "magnetic_moment_mub_per_fu": 0.00, "cell": [[2.503, 0.000, 0.000], [0.000, 4.353, 0.000], [0.000, 0.000, 8.291]], "species": ["Cu", "Cu", "Cu", "Cu", "Ni", "Ni", "Ni", "Ni"], "frac_coords": [[0.000, 0.000, 0.000], [0.000, 0.000, 0.500], [0.500, 0.500, 0.000], [0.500, 0.500, 0.500], [0.000, 0.332, 0.250], [0.000, 0.668, 0.750], [0.500, 0.168, 0.750], [0.500, 0.832, 0.250]]}